*a*
VASP calculation (PBE-GGA) on an optimized crystal structure of BaMnMo2.

abc: 3.042 3.596 7.906
angles: 90.00 95.67 90.00
Fractional positions:
Ba  0.000  0.000  0.000
Mn  0.000  0.000  0.500
Mo  0.421  0.500  0.645
Mo  0.579  0.500  0.355

Summary:
symmetry = P2/m
crystal system = monoclinic

*b*
VASP calculation (PBE-GGA) on an optimized crystal structure of BaMnMo2.

abc: 6.064 6.064 6.064
angles: 152.60 128.03 59.74
Fractional positions:
Ba  0.000  0.000  0.000
Mn  0.500  0.500  0.000
Mo  0.296  0.796  0.500
Mo  0.704  0.204  0.500

Summary:
symmetry = Immm
crystal system = orthorhombic

Relative to the most stable one, in eV/atom, the structures come out at *a* 0.000; *b* 0.350.